1.
Below is a relaxed structure of Li3Zn8, with properties calculated at the PBE level.

The structure in CIF format:
```
data_Li3Zn8
_chemical_formula_sum 'Li3 Zn8'
_cell_length_a 4.2996
_cell_length_b 4.2996
_cell_length_c 9.9075
_cell_angle_alpha 102.13
_cell_angle_beta 102.13
_cell_angle_gamma 60.23
_symmetry_space_group_name_H-M 'P 1'
_symmetry_Int_Tables_number 1
_symmetry_space_group_name_Hall 'P 1'
loop_
_atom_site_label
_atom_site_type_symbol
_atom_site_fract_x
_atom_site_fract_y
_atom_site_fract_z
Zn1 Zn 0.8194 0.8194 0.4575
Zn2 Zn 0.7276 0.7276 0.1836
Li1 Li 0.4537 0.4537 0.3606
Zn3 Zn 0.0915 0.0915 0.2746
Li2 Li 0.5463 0.5463 0.6394
Zn4 Zn 0.2724 0.2724 0.8164
Zn5 Zn 0.9085 0.9085 0.7254
Li3 Li 0.0000 0.0000 0.0000
Zn6 Zn 0.3625 0.3625 0.0895
Zn7 Zn 0.1806 0.1806 0.5425
Zn8 Zn 0.6375 0.6375 0.9105
```

Calculated total energy, eV per cell: -17.69

=====

2.
Below is a relaxed structure of LiZn, with properties calculated at the PBE level.

The structure in CIF format:
```
data_LiZn
_chemical_formula_sum 'Li4 Zn4'
_cell_length_a 4.8285
_cell_length_b 5.2341
_cell_length_c 4.3767
_cell_angle_alpha 90.00
_cell_angle_beta 90.00
_cell_angle_gamma 90.00
_symmetry_space_group_name_H-M 'P 1'
_symmetry_Int_Tables_number 1
_symmetry_space_group_name_Hall 'P 1'
loop_
_atom_site_label
_atom_site_type_symbol
_atom_site_fract_x
_atom_site_fract_y
_atom_site_fract_z
Zn1 Zn 0.0173 0.5000 0.0000
Zn2 Zn 0.3078 0.5000 0.5000
Li1 Li 0.8116 0.2647 0.5000
Li2 Li 0.0153 0.0000 0.0000
Zn3 Zn 0.5185 0.2486 0.0000
Li3 Li 0.8116 0.7353 0.5000
Zn4 Zn 0.5185 0.7514 0.0000
Li4 Li 0.3328 0.0000 0.5000
```

Calculated total energy, eV per cell: -13.72

=====

3.
Below is a relaxed structure of Li2Zn, with properties calculated at the PBE level.

The structure in CIF format:
```
data_Li2Zn
_chemical_formula_sum 'Li4 Zn2'
_cell_length_a 7.9281
_cell_length_b 7.9281
_cell_length_c 7.9281
_cell_angle_alpha 60.00
_cell_angle_beta 60.00
_cell_angle_gamma 60.00
_symmetry_space_group_name_H-M 'P 1'
_symmetry_Int_Tables_number 1
_symmetry_space_group_name_Hall 'P 1'
loop_
_atom_site_label
_atom_site_type_symbol
_atom_site_fract_x
_atom_site_fract_y
_atom_site_fract_z
Zn1 Zn 0.2500 0.2500 0.2500
Li1 Li 0.8750 0.3750 0.3750
Li2 Li 0.3750 0.3750 0.3750
Li3 Li 0.3750 0.8750 0.3750
Li4 Li 0.3750 0.3750 0.8750
Zn2 Zn 0.5000 0.5000 0.5000
```

Calculated total energy, eV per cell: -5.07

=====

4.
Below is a relaxed structure of Li11Zn2, with properties calculated at the PBE level.

The structure in CIF format:
```
data_Li11Zn2
_chemical_formula_sum 'Li22 Zn4'
_cell_length_a 8.1487
_cell_length_b 8.1487
_cell_length_c 8.1487
_cell_angle_alpha 109.47
_cell_angle_beta 109.47
_cell_angle_gamma 109.47
_symmetry_space_group_name_H-M 'P 1'
_symmetry_Int_Tables_number 1
_symmetry_space_group_name_Hall 'P 1'
loop_
_atom_site_label
_atom_site_type_symbol
_atom_site_fract_x
_atom_site_fract_y
_atom_site_fract_z
Li1 Li 0.3533 0.3533 0.0000
Li2 Li 0.0000 0.6499 0.2683
Li3 Li 0.0000 0.3533 0.3533
Li4 Li 0.7317 0.3815 0.7317
Li5 Li 0.7317 0.7317 0.3815
Li6 Li 0.2683 0.6499 0.0000
Zn1 Zn 0.0000 0.0000 0.3444
Li7 Li 0.6499 0.2683 0.0000
Zn2 Zn 0.6556 0.6556 0.6556
Li8 Li 0.6185 0.3501 0.3501
Zn3 Zn 0.3444 0.0000 0.0000
Li9 Li 0.3815 0.7317 0.7317
Li10 Li 0.0000 0.0000 0.7839
Li11 Li 0.0000 0.7839 0.0000
Li12 Li 0.6467 0.6467 0.0000
Li13 Li 0.7839 0.0000 0.0000
Li14 Li 0.2683 0.0000 0.6499
Li15 Li 0.3501 0.3501 0.6185
Li16 Li 0.3533 0.0000 0.3533
Li17 Li 0.0000 0.2683 0.6499
Zn4 Zn 0.0000 0.3444 0.0000
Li18 Li 0.6467 0.0000 0.6467
Li19 Li 0.6499 0.0000 0.2683
Li20 Li 0.2161 0.2161 0.2161
Li21 Li 0.3501 0.6185 0.3501
Li22 Li 0.0000 0.6467 0.6467
```

Calculated total energy, eV per cell: -48.13

=====

5.
Below is a relaxed structure of LiZn, with properties calculated at the PBE level.

The structure in CIF format:
```
data_LiZn
_chemical_formula_sum 'Li6 Zn6'
_cell_length_a 4.8012
_cell_length_b 7.9959
_cell_length_c 4.4266
_cell_angle_alpha 90.00
_cell_angle_beta 90.00
_cell_angle_gamma 90.00
_symmetry_space_group_name_H-M 'P 1'
_symmetry_Int_Tables_number 1
_symmetry_space_group_name_Hall 'P 1'
loop_
_atom_site_label
_atom_site_type_symbol
_atom_site_fract_x
_atom_site_fract_y
_atom_site_fract_z
Li1 Li 0.3306 0.6664 0.5000
Li2 Li 0.0108 0.6726 0.0000
Zn1 Zn 0.8206 0.8435 0.5000
Li3 Li 0.8306 0.1669 0.5000
Zn2 Zn 0.5254 0.8268 0.0000
Li4 Li 0.5108 0.1608 0.0000
Zn3 Zn 0.3207 0.9899 0.5000
Zn4 Zn 0.9967 0.3413 0.0000
Zn5 Zn 0.4967 0.4920 0.0000
Li5 Li 0.3157 0.3253 0.5000
Zn6 Zn 0.0254 0.0066 0.0000
Li6 Li 0.8157 0.5080 0.5000
```

Calculated total energy, eV per cell: -20.85

=====

6.
Below is a relaxed structure of LiZn2, with properties calculated at the PBE level.

The structure in CIF format:
```
data_LiZn2
_chemical_formula_sum 'Li4 Zn8'
_cell_length_a 5.0922
_cell_length_b 5.0922
_cell_length_c 8.2738
_cell_angle_alpha 90.00
_cell_angle_beta 90.00
_cell_angle_gamma 120.00
_symmetry_space_group_name_H-M 'P 1'
_symmetry_Int_Tables_number 1
_symmetry_space_group_name_Hall 'P 1'
loop_
_atom_site_label
_atom_site_type_symbol
_atom_site_fract_x
_atom_site_fract_y
_atom_site_fract_z
Li1 Li 0.3333 0.6667 0.4381
Zn1 Zn 0.0000 0.0000 0.0000
Zn2 Zn 0.1707 0.3415 0.7500
Zn3 Zn 0.8293 0.6585 0.2500
Zn4 Zn 0.1707 0.8293 0.7500
Zn5 Zn 0.8293 0.1707 0.2500
Li2 Li 0.6667 0.3333 0.5619
Li3 Li 0.6667 0.3333 0.9381
Zn6 Zn 0.6585 0.8293 0.7500
Li4 Li 0.3333 0.6667 0.0619
Zn7 Zn 0.0000 0.0000 0.5000
Zn8 Zn 0.3414 0.1707 0.2500
```

Calculated total energy, eV per cell: -19.93

=====

7.
Below is a relaxed structure of LiZn2, with properties calculated at the PBE level.

The structure in CIF format:
```
data_LiZn2
_chemical_formula_sum 'Li2 Zn4'
_cell_length_a 4.7091
_cell_length_b 4.7091
_cell_length_c 4.3610
_cell_angle_alpha 90.00
_cell_angle_beta 90.00
_cell_angle_gamma 60.00
_symmetry_space_group_name_H-M 'P 1'
_symmetry_Int_Tables_number 1
_symmetry_space_group_name_Hall 'P 1'
loop_
_atom_site_label
_atom_site_type_symbol
_atom_site_fract_x
_atom_site_fract_y
_atom_site_fract_z
Zn1 Zn 0.3318 0.6667 0.5000
Zn2 Zn 0.0016 0.3318 0.5000
Zn3 Zn 0.6667 0.6667 0.0000
Zn4 Zn 0.6667 0.0016 0.5000
Li1 Li 0.0000 0.0000 0.0000
Li2 Li 0.3333 0.3333 0.0000
```

Calculated total energy, eV per cell: -9.68

=====

8.
Below is a relaxed structure of LiZn2, with properties calculated at the PBE level.

The structure in CIF format:
```
data_LiZn2
_chemical_formula_sum 'Li4 Zn8'
_cell_length_a 4.7164
_cell_length_b 8.1731
_cell_length_c 4.3402
_cell_angle_alpha 90.00
_cell_angle_beta 90.00
_cell_angle_gamma 90.00
_symmetry_space_group_name_H-M 'P 1'
_symmetry_Int_Tables_number 1
_symmetry_space_group_name_Hall 'P 1'
loop_
_atom_site_label
_atom_site_type_symbol
_atom_site_fract_x
_atom_site_fract_y
_atom_site_fract_z
Li1 Li 0.8252 0.1650 0.5000
Zn1 Zn 0.8508 0.8333 0.5000
Zn2 Zn 0.5275 0.8333 0.0000
Zn3 Zn 0.9826 0.3333 0.0000
Li2 Li 0.8252 0.5017 0.5000
Li3 Li 0.0079 0.0017 0.0000
Li4 Li 0.0079 0.6649 0.0000
Zn4 Zn 0.3055 0.3333 0.5000
Zn5 Zn 0.3343 0.6672 0.5000
Zn6 Zn 0.4993 0.1672 0.0000
Zn7 Zn 0.3343 0.9995 0.5000
Zn8 Zn 0.4993 0.4994 0.0000
```

Calculated total energy, eV per cell: -19.47

=====

Question: What is the calculated total energy in the third record?
Answer: -5.07 eV per cell

=====

Question: Among the records above, which one has the highest calculated total energy?
Answer: Li2Zn

=====

Question: What is the formula in the fifth record?
Answer: LiZn